The following is a DFT calculation (PBE) of a relaxed PmThCdSb crystal. Values from VASP.

Cell and atoms, written as Quantum ESPRESSO input:
```
&SYSTEM
  ibrav = 0, nat = 16, ntyp = 4
/
ATOMIC_SPECIES
Pm 145.00 Pm.upf
Th 232.04 Th.upf
Cd 112.41 Cd.upf
Sb 121.76 Sb.upf
ATOMIC_POSITIONS crystal
Pm 0.0000 0.0000 0.0000
Pm 0.0000 0.5000 0.5000
Pm 0.5000 0.0000 0.5000
Pm 0.5000 0.5000 0.0000
Th 0.0000 0.0000 0.5000
Th 0.0000 0.5000 0.0000
Th 0.5000 0.0000 0.0000
Th 0.5000 0.5000 0.5000
Cd 0.2500 0.2500 0.7500
Cd 0.2500 0.7500 0.2500
Cd 0.7500 0.2500 0.2500
Cd 0.7500 0.7500 0.7500
Sb 0.2500 0.2500 0.2500
Sb 0.2500 0.7500 0.7500
Sb 0.7500 0.2500 0.7500
Sb 0.7500 0.7500 0.2500
CELL_PARAMETERS angstrom
7.6945 0.0000 0.0000
0.0000 7.6945 0.0000
0.0000 0.0000 7.6945
```

## Properties
formation energy from raw total energies: -10.11 kcal/mol of atoms